# Ho4In3Te8 | Alexandria via LeMat-Bulk | PBE-GGA | optimized geometry
# **Raw total energy**: -65.79 eV per formula unit
# **Formation energy without anion corrections**: -21.7 kcal/mol of atoms
data_Ho4In3Te8
_cell_length_a 12.639
_cell_length_b 12.542
_cell_length_c 8.765
_cell_angle_alpha 90.00
_cell_angle_beta 133.68
_cell_angle_gamma 90.00
_space_group_name_H-M_alt 'C 1 2/m 1'
_space_group_IT_number 12
loop_
_space_group_symop_operation_xyz
'x,y,z'
'-x,-y,-z'
'-x,y,-z'
'x,-y,z'
'x+1/2,y+1/2,z'
'-x+1/2,-y+1/2,-z'
'-x+1/2,y+1/2,-z'
'x+1/2,-y+1/2,z'
loop_
_atom_site_label
_atom_site_type_symbol
_atom_site_fract_x
_atom_site_fract_y
_atom_site_fract_z
Ho1 Ho 0.000 0.000 0.000
Ho2 Ho 0.000 0.000 0.500
Ho3 Ho 0.250 0.250 0.000
In1 In 0.000 0.500 0.500
In2 In 0.250 0.250 0.500
Te1 Te 0.000 0.244 0.500
Te2 Te 0.000 0.248 0.000
Te3 Te 0.233 0.000 0.484
Te4 Te 0.242 0.000 0.988